# ReBi3P

An optimized crystal structure of ReBi3P (PBE, the Alexandria database).

Properties
mass density	9433	kg/m³
total moment	0.61	μB/atom
distance to the lowest polymorph of the same formula	500.9	meV per atom
Fermi-level density of states	0.4412	states/eV per atom
DFT formation energy	7.4	eV/f.u.

abc: 5.297 5.297 5.297
angles: 90.00 90.00 90.00
Atoms (fractional coordinates):
1 Re 0.000 0.000 0.000
2 Bi 0.000 0.500 0.500
3 Bi 0.500 0.000 0.500
4 Bi 0.500 0.500 0.000
5 P 0.500 0.500 0.500



# Re3BiP

An optimized crystal structure of Re3BiP (PBE, the Alexandria database).

Properties
mass density	14423	kg/m³
total moment	0.41	μB/atom
distance to the lowest polymorph of the same formula	0.0	meV per atom
Fermi-level density of states	0.8712	states/eV per atom
DFT formation energy	5.1	eV/f.u.

abc: 4.513 4.513 4.513
angles: 90.00 90.00 90.00
Atoms (fractional coordinates):
1 Re 0.000 0.000 0.500
2 Re 0.000 0.500 0.000
3 Re 0.500 0.000 0.000
4 Bi 0.500 0.500 0.500
5 P 0.000 0.000 0.000



# ReBiP2S

An optimized crystal structure of ReBiP2S (PBE, the Alexandria database).

Properties
mass density	7563	kg/m³
total moment	0.03	μB/atom
distance to the lowest polymorph of the same formula	0.0	meV per atom
Fermi-level density of states	0.9953	states/eV per atom
raw formation energy	464	meV/atom

abc: 4.537 4.537 5.218
angles: 90.00 90.00 90.00
Atoms (fractional coordinates):
1 Re 0.000 0.000 0.000
2 Bi 0.500 0.500 0.500
3 P 0.000 0.500 0.000
4 P 0.500 0.000 0.000
5 S 0.000 0.000 0.500



# ReBiPS2

An optimized crystal structure of ReBiPS2 (PBE, the Alexandria database).

Properties
mass density	7731	kg/m³
total moment	0.00	μB/atom
distance to the lowest polymorph of the same formula	0.0	meV per atom
Fermi-level density of states	1.0414	states/eV per atom
raw formation energy	377	meV/atom

abc: 4.524 4.524 5.144
angles: 90.00 90.00 90.00
Atoms (fractional coordinates):
1 Re 0.000 0.000 0.000
2 Bi 0.500 0.500 0.500
3 P 0.000 0.000 0.500
4 S 0.000 0.500 0.000
5 S 0.500 0.000 0.000



# ReBiPS2

An optimized crystal structure of ReBiPS2 (PBE, the Alexandria database).

Properties
mass density	5857	kg/m³
total moment	0.78	μB/atom
distance to the lowest polymorph of the same formula	1429.2	meV per atom
Fermi-level density of states	0.7521	states/eV per atom
raw formation energy	1807	meV/atom

abc: 5.096 5.096 5.353
angles: 90.00 90.00 90.00
Atoms (fractional coordinates):
1 Re 0.000 0.000 0.000
2 Bi 0.500 0.500 0.500
3 P 0.500 0.500 0.000
4 S 0.000 0.500 0.500
5 S 0.500 0.000 0.500



# ReBiP2S

An optimized crystal structure of ReBiP2S (PBE, the Alexandria database).

Properties
mass density	5868	kg/m³
total moment	0.62	μB/atom
distance to the lowest polymorph of the same formula	1591.3	meV per atom
Fermi-level density of states	0.5388	states/eV per atom
raw formation energy	2056	meV/atom

abc: 5.237 5.237 5.048
angles: 90.00 90.00 90.00
Atoms (fractional coordinates):
1 Re 0.000 0.000 0.000
2 Bi 0.500 0.500 0.500
3 P 0.000 0.500 0.500
4 P 0.500 0.000 0.500
5 S 0.500 0.500 0.000